This record from Alexandria describes a geometry-optimized HfZrCrO6 structure. The functional is PBE+U.

Geometry as POSCAR:
```
HfZrCrO6
1.0
-0.7698 0.5497 5.0775
-2.5318 -3.6652 -2.6139
6.8607 -5.9395 1.6831
O Cr Zr Hf
12 2 2 2
Cartesian
4.8411 -6.1748 2.3751
4.0210 -3.6350 2.7965
-1.8286 -4.1996 -0.6560
-1.2819 -2.8801 1.7717
5.3878 -4.8553 4.8028
0.0062 -2.0634 -0.5964
2.7453 -4.4339 5.1773
1.3767 -3.2863 1.3852
2.1825 -5.7686 2.7615
-0.4618 -5.4200 1.3503
3.5530 -6.9916 4.7431
0.8139 -4.6210 -1.0305
-0.2292 -3.7451 0.3707
3.7885 -5.3098 3.7761
0.0000 0.0000 0.0000
3.4304 -2.9697 0.8416
0.3581 -2.3401 2.9345
3.2011 -6.7148 1.2123
```

Calculated values
Density (Mg/m³): 6.5
E (eV/cell): -160.6